Pm8Tl4Hg3 | PBE | relaxed

Cell: 8.964 8.964 7.406 Å, 114.11 114.11 89.68°
Positions (direct):
Pm  0.172  0.828  0.000
Pm  0.240  0.240  0.490
Pm  0.242  0.242  0.996
Pm  0.246  0.754  0.500
Pm  0.754  0.246  0.500
Pm  0.758  0.758  0.004
Pm  0.760  0.760  0.510
Pm  0.828  0.172  0.000
Tl  0.000  0.500  0.000
Tl  0.500  0.000  0.000
Tl  0.500  0.500  0.000
Tl  0.500  0.500  0.500
Hg  0.000  0.000  0.500
Hg  0.000  0.500  0.500
Hg  0.500  0.000  0.500

The calculation puts the formation energy from the elements at -183 meV per atom. The density is 8.8 g/cm³. For the density of states at the Fermi level, the calculation gives 19.2 states/eV/cell. The value obtained for the uncorrected energy is -51.1 eV/f.u.